# CsIn2MoF8, optimized geometry, DFT PBE+U
# Uncorrected energy (eV/atom): -4.83
# V (Å³/atom): 20.84
data_CsIn2MoF8
_chemical_formula_sum 'Cs1 In2 Mo1 F8'
_cell_length_a 5.169
_cell_length_b 5.985
_cell_length_c 8.379
_cell_angle_alpha 80.69
_cell_angle_beta 86.41
_cell_angle_gamma 77.93
_symmetry_space_group_name_H-M 'P 1'
_symmetry_Int_Tables_number 1
_symmetry_space_group_name_Hall 'P 1'
loop_
_atom_site_label
_atom_site_type_symbol
_atom_site_fract_x
_atom_site_fract_y
_atom_site_fract_z
Cs1 Cs 0.000 0.000 0.000
In1 In 0.413 0.404 0.648
In2 In 0.587 0.596 0.352
Mo1 Mo 0.000 0.000 0.500
F1 F 0.067 0.258 0.630
F2 F 0.139 0.735 0.691
F3 F 0.360 0.958 0.369
F4 F 0.436 0.303 0.887
F5 F 0.564 0.697 0.113
F6 F 0.640 0.042 0.631
F7 F 0.861 0.265 0.309
F8 F 0.933 0.742 0.370